#A
Fe2WAu | PBE | optimized geometry

a b c (Å): 4.5707 4.5707 4.5707
angles (deg): 129.46 129.46 74.27
Fractional positions:
Fe 0.2500 0.7500 0.5000
Fe 0.7500 0.2500 0.5000
W 0.0000 0.0000 0.0000
Au 0.5000 0.5000 0.0000

Results
- D(E_F): 3.55 states/eV per cell
- SG: No. 139

#B
Fe2WAu | PBE | optimized geometry

a b c (Å): 3.9375 3.9375 3.4857
angles (deg): 90.00 90.00 90.00
Fractional positions:
Fe 0.0000 0.5000 0.0000
Fe 0.5000 0.0000 0.0000
W 0.0000 0.0000 0.5000
Au 0.5000 0.5000 0.5000

Results
- D(E_F): 2.13 states/eV per cell
- SG: No. 123

#C
Fe2WAu | PBE | optimized geometry

a b c (Å): 2.6890 2.6890 8.4623
angles (deg): 90.00 90.00 106.80
Fractional positions:
Fe 0.0000 0.0000 0.2416
Fe 0.0000 0.0000 0.7584
W 0.5000 0.5000 0.0000
Au 0.5000 0.5000 0.5000

Results
- D(E_F): 3.53 states/eV per cell
- SG: No. 65

#C has the most favorable energy; the next structure is 60 meV per atom above.

#A
Fe2WAu | PBE | optimized geometry

a b c (Å): 2.6521 4.3120 5.1945
angles (deg): 90.00 96.50 90.00
Fractional positions:
Fe 0.2213 0.0000 0.2182
Fe 0.7787 0.0000 0.7818
W 0.5000 0.5000 0.0000
Au 0.0000 0.5000 0.5000

Results
- D(E_F): 3.52 states/eV per cell
- SG: No. 10

#B
Fe2WAu | PBE | optimized geometry

a b c (Å): 3.1531 3.1531 5.6796
angles (deg): 90.00 90.00 90.00
Fractional positions:
Fe 0.0000 0.0000 0.2222
Fe 0.0000 0.0000 0.7778
W 0.5000 0.5000 0.0000
Au 0.5000 0.5000 0.5000

Results
- D(E_F): 3.66 states/eV per cell
- SG: No. 123

#B has the most favorable energy; the next structure is 91 meV per atom above.

#A
Fe2WAu | PBE | optimized geometry

a b c (Å): 4.5928 4.5928 4.8957
angles (deg): 98.04 98.04 34.56
Fractional positions:
Fe 0.2503 0.2503 0.2315
Fe 0.7497 0.7497 0.7685
W 0.5000 0.5000 0.0000
Au 0.0000 0.0000 0.5000

Results
- D(E_F): 4.04 states/eV per cell
- SG: No. 12

#B
Fe2WAu | PBE | optimized geometry

a b c (Å): 8.6656 8.6656 8.6656
angles (deg): 18.88 18.88 18.88
Fractional positions:
Fe 0.2460 0.2460 0.2460
Fe 0.7540 0.7540 0.7540
W 0.5000 0.5000 0.5000
Au 0.0000 0.0000 0.0000

Results
- D(E_F): 5.00 states/eV per cell
- SG: No. 166

#C
Fe2WAu | PBE | optimized geometry

a b c (Å): 2.7115 2.7115 7.8518
angles (deg): 90.00 90.00 90.00
Fractional positions:
Fe 0.0000 0.0000 0.2410
Fe 0.0000 0.0000 0.7590
W 0.5000 0.5000 0.0000
Au 0.5000 0.5000 0.5000

Results
- D(E_F): 5.11 states/eV per cell
- SG: No. 123

#D
Fe2WAu | PBE | optimized geometry

a b c (Å): 5.4750 5.4750 5.4750
angles (deg): 104.01 104.01 121.05
Fractional positions:
Fe 0.0970 0.6250 0.9720
Fe 0.3750 0.3470 0.4720
Fe 0.6530 0.1250 0.0280
Fe 0.8750 0.9030 0.5280
W 0.0000 0.0000 0.0000
W 0.7500 0.2500 0.5000
Au 0.2500 0.7500 0.5000
Au 0.5000 0.5000 0.0000

Results
- D(E_F): 8.98 states/eV per cell
- SG: No. 122

#C has the most favorable energy; the next structure is 55 meV per atom above.

#A
Fe2WAu | PBE | optimized geometry

a b c (Å): 2.7687 3.7179 5.5088
angles (deg): 90.00 90.00 90.00
Fractional positions:
Fe 0.0000 0.0000 0.0000
Fe 0.5000 0.5000 0.2152
W 0.0000 0.0000 0.4316
Au 0.5000 0.5000 0.7322

Results
- D(E_F): 3.45 states/eV per cell
- SG: No. 25

#B
Fe2WAu | PBE | optimized geometry

a b c (Å): 8.8107 8.8107 8.8107
angles (deg): 18.28 18.28 18.28
Fractional positions:
Fe 0.0000 0.0000 0.0000
Fe 0.2628 0.2628 0.2628
W 0.5144 0.5144 0.5144
Au 0.7530 0.7530 0.7530

Results
- D(E_F): 3.17 states/eV per cell
- SG: No. 160

#A has the most favorable energy; the next structure is 66 meV per atom above.

#A
Fe2WAu | PBE | optimized geometry

a b c (Å): 4.3522 4.3522 4.3522
angles (deg): 60.00 60.00 60.00
Fractional positions:
Fe 0.0000 0.0000 0.0000
Fe 0.2500 0.2500 0.2500
W 0.5000 0.5000 0.5000
Au 0.7500 0.7500 0.7500

Results
- D(E_F): 3.82 states/eV per cell
- SG: No. 216

#B
Fe2WAu | PBE | optimized geometry

a b c (Å): 4.8713 4.8713 4.4823
angles (deg): 108.04 108.04 34.08
Fractional positions:
Fe 0.0000 0.0000 0.0000
Fe 0.7117 0.7117 0.2702
W 0.2447 0.2447 0.8033
Au 0.4686 0.4686 0.4768

Results
- D(E_F): 3.32 states/eV per cell
- SG: No. 8

#C
Fe2WAu | PBE | optimized geometry

a b c (Å): 4.7289 4.7289 4.7289
angles (deg): 133.05 133.05 68.58
Fractional positions:
Fe 0.0000 0.0000 0.0000
Fe 0.7500 0.2500 0.5000
W 0.5000 0.5000 0.0000
Au 0.2500 0.7500 0.5000

Results
- D(E_F): 3.06 states/eV per cell
- SG: No. 119

#C has the most favorable energy; the next structure is 25 meV per atom above.

#A
FeW2Au | PBE | optimized geometry

a b c (Å): 2.7305 2.7305 8.2819
angles (deg): 90.00 90.00 90.00
Fractional positions:
Fe 0.0000 0.0000 0.0000
W 0.0000 0.0000 0.4879
W 0.5000 0.5000 0.2186
Au 0.5000 0.5000 0.7545

Results
- D(E_F): 3.95 states/eV per cell
- SG: No. 99

#B
FeW2Au | PBE | optimized geometry

a b c (Å): 4.9110 4.9110 2.7423
angles (deg): 90.00 90.00 112.79
Fractional positions:
Fe 0.0000 0.0000 0.0000
W 0.0000 0.5000 0.5000
W 0.5000 0.0000 0.5000
Au 0.5000 0.5000 0.0000

Results
- D(E_F): 3.81 states/eV per cell
- SG: No. 65

#A has the most favorable energy; the next structure is 73 meV per atom above.

#A
FeW2Au | PBE | optimized geometry

a b c (Å): 4.8912 4.8912 4.6395
angles (deg): 101.80 101.80 34.87
Fractional positions:
Fe 0.0000 0.0000 0.0000
W 0.2546 0.2546 0.7593
W 0.7454 0.7454 0.2407
Au 0.5000 0.5000 0.5000

Results
- D(E_F): 3.58 states/eV per cell
- SG: No. 12

#B
FeW2Au | PBE | optimized geometry

a b c (Å): 2.6932 2.6932 8.8176
angles (deg): 90.00 90.00 105.23
Fractional positions:
Fe 0.0000 0.0000 0.0000
W 0.5000 0.5000 0.2298
W 0.5000 0.5000 0.7702
Au 0.0000 0.0000 0.5000

Results
- D(E_F): 3.07 states/eV per cell
- SG: No. 65

#C
FeW2Au | PBE | optimized geometry

a b c (Å): 2.7276 2.7276 8.8136
angles (deg): 90.00 90.00 107.37
Fractional positions:
Fe 0.0000 0.0000 0.0000
W 0.0000 0.0000 0.5181
W 0.5000 0.5000 0.7712
Au 0.5000 0.5000 0.2479

Results
- D(E_F): 3.03 states/eV per cell
- SG: No. 35

#D
FeW2Au | PBE | optimized geometry

a b c (Å): 4.4607 4.4607 4.4607
angles (deg): 60.00 60.00 60.00
Fractional positions:
Fe 0.0000 0.0000 0.0000
W 0.5000 0.5000 0.5000
W 0.7500 0.7500 0.7500
Au 0.2500 0.2500 0.2500

Results
- D(E_F): 4.03 states/eV per cell
- SG: No. 216

#C has the most favorable energy; the next structure is 116 meV per atom above.

#A
FeW2Au | PBE | optimized geometry

a b c (Å): 5.0417 5.0417 5.0417
angles (deg): 140.40 130.81 64.90
Fractional positions:
Fe 0.0000 0.0000 0.0000
W 0.2367 0.7367 0.5000
W 0.7633 0.2633 0.5000
Au 0.5000 0.5000 0.0000

Results
- D(E_F): 3.48 states/eV per cell
- SG: No. 71

#B
FeW2Au | PBE | optimized geometry

a b c (Å): 9.1748 9.1748 9.1748
angles (deg): 17.82 17.82 17.82
Fractional positions:
Fe 0.0000 0.0000 0.0000
W 0.4948 0.4948 0.4948
W 0.7400 0.7400 0.7400
Au 0.2511 0.2511 0.2511

Results
- D(E_F): 4.58 states/eV per cell
- SG: No. 160

#A has the most favorable energy; the next structure is 68 meV per atom above.

#A
FeW2Au | PBE | optimized geometry

a b c (Å): 2.6969 4.3861 5.2970
angles (deg): 90.00 98.85 90.00
Fractional positions:
Fe 0.0000 0.0000 0.0000
W 0.4373 0.0000 0.4700
W 0.6818 0.5000 0.2017
Au 0.0241 0.5000 0.7261

Results
- D(E_F): 3.15 states/eV per cell
- SG: No. 6

#B
FeW2Au | PBE | optimized geometry

a b c (Å): 2.6981 4.0615 5.6799
angles (deg): 90.00 90.00 90.00
Fractional positions:
Fe 0.0000 0.0000 0.0000
W 0.0000 0.0000 0.4856
W 0.5000 0.5000 0.2341
Au 0.5000 0.5000 0.7531

Results
- D(E_F): 3.59 states/eV per cell
- SG: No. 25

#C
FeW2Au | PBE | optimized geometry

a b c (Å): 3.2573 3.2573 5.8580
angles (deg): 90.00 90.00 90.00
Fractional positions:
Fe 0.0000 0.0000 0.0000
W 0.0000 0.0000 0.4728
W 0.5000 0.5000 0.2320
Au 0.5000 0.5000 0.7569

Results
- D(E_F): 3.71 states/eV per cell
- SG: No. 99

#C has the most favorable energy; the next structure is 24 meV per atom above.

#A
FeW2Au | PBE | optimized geometry

a b c (Å): 2.7723 3.8820 5.5996
angles (deg): 90.00 90.40 90.00
Fractional positions:
Fe 0.0000 0.0000 0.0000
W 0.4954 0.5000 0.2235
W 0.5046 0.5000 0.7765
Au 0.0000 0.0000 0.5000

Results
- D(E_F): 2.34 states/eV per cell
- SG: No. 10

#B
FeW2Au | PBE | optimized geometry

a b c (Å): 9.2502 9.2502 9.2502
angles (deg): 17.34 17.34 17.34
Fractional positions:
Fe 0.0000 0.0000 0.0000
W 0.2571 0.2571 0.2571
W 0.7429 0.7429 0.7429
Au 0.5000 0.5000 0.5000

Results
- D(E_F): 4.51 states/eV per cell
- SG: No. 166

#A has the most favorable energy; the next structure is 102 meV per atom above.

#A
FeW2Au | PBE | optimized geometry

a b c (Å): 4.7897 4.7897 4.9999
angles (deg): 97.44 97.44 33.01
Fractional positions:
Fe 0.0000 0.0000 0.0000
W 0.2549 0.2549 0.7581
W 0.4979 0.4979 0.5022
Au 0.7476 0.7476 0.2405

Results
- D(E_F): 3.19 states/eV per cell
- SG: No. 8

#B
FeW2Au | PBE | optimized geometry

a b c (Å): 9.6269 9.6269 9.6269
angles (deg): 157.38 157.38 32.20
Fractional positions:
Fe 0.0000 0.0000 0.0000
Fe 0.7500 0.2500 0.5000
W 0.1052 0.6250 0.9802
W 0.3750 0.3552 0.4802
W 0.6448 0.1250 0.0198
W 0.8750 0.8948 0.5198
Au 0.2500 0.7500 0.5000
Au 0.5000 0.5000 0.0000

Results
- D(E_F): 11.52 states/eV per cell
- SG: No. 122

#A has the most favorable energy; the next structure is 573 meV per atom above.